Entry 1:
DFT (PBE-GGA) results for a relaxed structure of Tc2GeBi.

The value obtained for the offset from the most stable computed form is 0.240 eV/atom. For the energy of formation, the calculation gives 0.621 eV per atom.

a = 4.2416 Å, b = 4.2416 Å, c = 9.5334 Å
α = 77.15°, β = 77.15°, γ = 90.00°
Closest atoms and distances in Å follow each position.
Element x y z (fractional)
Ge (0.5000, 0.5000, 0.0000)  4 Tc 2.58
Ge (0.2500, 0.7500, 0.5000)  4 Tc 2.58
Bi (0.0000, 0.0000, 0.0000)  4 Tc 2.90, 4 Ge 3.00
Bi (0.7500, 0.2500, 0.5000)  4 Tc 2.90, 4 Ge 3.00
Tc (0.5293, 0.1250, 0.2500)  2 Tc 2.49, 2 Ge 2.58
Tc (0.2207, 0.6250, 0.2500)  2 Tc 2.49, 2 Ge 2.58
Tc (0.3750, 0.4707, 0.7500)  2 Tc 2.49, 2 Ge 2.58
Tc (0.8750, 0.7793, 0.7500)  2 Tc 2.49, 2 Ge 2.58


Entry 2:
DFT (PBE-GGA) results for a relaxed structure of Ca3Ac12H5.

a = 15.4665 Å, b = 15.4665 Å, c = 15.4665 Å
α = 109.47°, β = 109.47°, γ = 109.47°
Closest atoms and distances in Å follow each position.
Element x y z (fractional)
H (0.1250, 0.3750, 0.2500)  4 Ac 2.46
H (0.0000, 0.5000, 0.0000)  6 Ac 2.90
H (0.0000, 0.0000, 0.0000)  6 Ac 2.90
H (0.3750, 0.2500, 0.1250)  4 Ac 2.46
H (0.5000, 0.0000, 0.5000)  6 Ac 2.90
H (0.5000, 0.5000, 0.0000)  6 Ac 2.90
H (0.1250, 0.7500, 0.3750)  4 Ac 2.46
H (0.7500, 0.1250, 0.8750)  4 Ac 2.46
H (0.7500, 0.6250, 0.3750)  4 Ac 2.46
H (0.3750, 0.1250, 0.7500)  4 Ac 2.46
H (0.6250, 0.8750, 0.2500)  4 Ac 2.46
H (0.5000, 0.5000, 0.5000)  6 Ac 2.90
H (0.5000, 0.0000, 0.0000)  6 Ac 2.90
H (0.0000, 0.0000, 0.5000)  6 Ac 2.90
H (0.2500, 0.3750, 0.6250)  4 Ac 2.46
H (0.2500, 0.8750, 0.1250)  4 Ac 2.46
H (0.0000, 0.5000, 0.5000)  6 Ac 2.90
H (0.8750, 0.2500, 0.6250)  4 Ac 2.46
H (0.6250, 0.7500, 0.8750)  4 Ac 2.46
H (0.8750, 0.6250, 0.7500)  4 Ac 2.46
Ac (0.6962, 0.1014, 0.0019)  1 H 2.46
Ac (0.3057, 0.5019, 0.4005)  1 H 2.46
Ac (0.9981, 0.3986, 0.3038)  1 H 2.46
Ac (0.5019, 0.1962, 0.1014)  1 H 2.46
Ac (0.5948, 0.6962, 0.6943)  1 H 2.46
Ac (0.9981, 0.5995, 0.1943)  1 H 2.46
Ac (0.3057, 0.8038, 0.4052)  1 H 2.46
Ac (0.0995, 0.9052, 0.1014)  1 H 2.46
Ac (0.5995, 0.9981, 0.6943)  1 H 2.46
Ac (0.6962, 0.5948, 0.1943)  1 H 2.46
Ac (0.8038, 0.4981, 0.3986)  1 H 2.46
Ac (0.8057, 0.9005, 0.0019)  1 H 2.46
Ac (0.1014, 0.6962, 0.5019)  1 H 2.46
Ac (0.3986, 0.4005, 0.0948)  1 H 2.46
Ac (0.0948, 0.9005, 0.3986)  1 H 2.46
Ac (0.4052, 0.1014, 0.5995)  1 H 2.46
Ac (0.0948, 0.1943, 0.1962)  1 H 2.46
Ac (0.4981, 0.6943, 0.0995)  1 H 2.46
Ac (0.8057, 0.9052, 0.3038)  1 H 2.46
Ac (0.1014, 0.4052, 0.0995)  1 H 2.46
Ac (0.3986, 0.9981, 0.8038)  1 H 2.46
Ac (0.5995, 0.6014, 0.4052)  1 H 2.46
Ac (0.9005, 0.8057, 0.5019)  1 H 2.46
Ac (0.8038, 0.3057, 0.9052)  1 H 2.46
Ac (0.4005, 0.3986, 0.5948)  1 H 2.46
Ac (0.0995, 0.1943, 0.4981)  1 H 2.46
Ac (0.1962, 0.6943, 0.0948)  1 H 2.46
Ac (0.1943, 0.0948, 0.6962)  1 H 2.46
Ac (0.6014, 0.0019, 0.1962)  1 H 2.46
Ac (0.8986, 0.5948, 0.9005)  1 H 2.46
Ac (0.5019, 0.3057, 0.9005)  1 H 2.46
Ac (0.5948, 0.8986, 0.4005)  1 H 2.46
Ac (0.9052, 0.8057, 0.8038)  1 H 2.46
Ac (0.9052, 0.0995, 0.6014)  1 H 2.46
Ac (0.8986, 0.3038, 0.4981)  1 H 2.46
Ac (0.1943, 0.0995, 0.9981)  1 H 2.46
Ac (0.6014, 0.5995, 0.9052)  1 H 2.46
Ac (0.4005, 0.0019, 0.3057)  1 H 2.46
Ac (0.3038, 0.4052, 0.8057)  1 H 2.46
Ac (0.1962, 0.5019, 0.6014)  1 H 2.46
Ac (0.9005, 0.0948, 0.8986)  1 H 2.46
Ac (0.6943, 0.1962, 0.5948)  1 H 2.46
Ac (0.4981, 0.8038, 0.8986)  1 H 2.46
Ac (0.0019, 0.4005, 0.8057)  1 H 2.46
Ac (0.4052, 0.3038, 0.3057)  1 H 2.46
Ac (0.0019, 0.6014, 0.6962)  1 H 2.46
Ac (0.6943, 0.4981, 0.5995)  1 H 2.46
Ac (0.3038, 0.8986, 0.9981)  1 H 2.46
Ca (0.7500, 0.3750, 0.1250)  8 Ac 3.67-3.72
Ca (0.8750, 0.7500, 0.1250)  8 Ac 3.67-3.72
Ca (0.3750, 0.7500, 0.6250)  8 Ac 3.67-3.72
Ca (0.2500, 0.1250, 0.3750)  8 Ac 3.67-3.72
Ca (0.8750, 0.1250, 0.2500)  8 Ac 3.67-3.72
Ca (0.3750, 0.6250, 0.2500)  8 Ac 3.67-3.72
Ca (0.6250, 0.3750, 0.7500)  8 Ac 3.67-3.72
Ca (0.1250, 0.8750, 0.7500)  8 Ac 3.67-3.72
Ca (0.7500, 0.8750, 0.6250)  8 Ac 3.67-3.72
Ca (0.6250, 0.2500, 0.3750)  8 Ac 3.67-3.72
Ca (0.1250, 0.2500, 0.8750)  8 Ac 3.67-3.72
Ca (0.2500, 0.6250, 0.8750)  8 Ac 3.67-3.72


Entry 3:
DFT (PBE-GGA) results for a relaxed structure of KV3Br12.

The formation energy from raw total energies comes out at -0.8986 eV/atom.

a = 8.8930 Å, b = 13.3885 Å, c = 13.3885 Å
α = 120.00°, β = 90.00°, γ = 90.00°
Closest atoms and distances in Å follow each position.
Element x y z (fractional)
K (0.7500, 0.6667, 0.3333)  9 Br 3.61-3.64
K (0.2500, 0.3333, 0.6667)  9 Br 3.61-3.64
V (0.2500, 0.9012, 0.6142)  4 Br 2.30-2.33
V (0.2500, 0.7130, 0.0988)  4 Br 2.30-2.33
V (0.2500, 0.3858, 0.2871)  4 Br 2.30-2.33
V (0.7500, 0.6142, 0.7130)  4 Br 2.30-2.33
V (0.7500, 0.2871, 0.9012)  4 Br 2.30-2.33
V (0.7500, 0.0988, 0.3858)  4 Br 2.30-2.33
Br (0.2500, 0.0083, 0.8127)  1 V 2.30
Br (0.7500, 0.9795, 0.4666)  1 V 2.33
Br (0.4634, 0.7845, 0.5531)  1 V 2.33
Br (0.0366, 0.7845, 0.5531)  1 V 2.33
Br (0.7500, 0.5334, 0.5129)  1 V 2.33
Br (0.0366, 0.7686, 0.2155)  1 V 2.33
Br (0.4634, 0.7686, 0.2155)  1 V 2.33
Br (0.2500, 0.8045, 0.9917)  1 V 2.30
Br (0.4634, 0.4469, 0.2314)  1 V 2.33
Br (0.0366, 0.4469, 0.2314)  1 V 2.33
Br (0.7500, 0.8127, 0.8045)  1 V 2.30
Br (0.2500, 0.5129, 0.9795)  1 V 2.33
Br (0.7500, 0.4871, 0.0205)  1 V 2.33
Br (0.2500, 0.1873, 0.1955)  1 V 2.30
Br (0.9634, 0.5531, 0.7686)  1 V 2.33
Br (0.5366, 0.5531, 0.7686)  1 V 2.33
Br (0.7500, 0.1955, 0.0083)  1 V 2.30
Br (0.5366, 0.2314, 0.7845)  1 V 2.33
Br (0.9634, 0.2314, 0.7845)  1 V 2.33
Br (0.2500, 0.4666, 0.4871)  1 V 2.33
Br (0.5366, 0.2155, 0.4469)  1 V 2.33
Br (0.9634, 0.2155, 0.4469)  1 V 2.33
Br (0.2500, 0.0205, 0.5334)  1 V 2.33
Br (0.7500, 0.9917, 0.1873)  1 V 2.30


Entry 4:
DFT (PBE-GGA) results for a relaxed structure of HgI2O2.

The value obtained for the offset from the most stable computed form is 0.683 eV/atom. The formation energy from raw total energies comes out at 0.7200 eV/atom.

a = 5.0540 Å, b = 5.0540 Å, c = 4.0734 Å
α = 90.00°, β = 90.00°, γ = 90.00°
Closest atoms and distances in Å follow each position.
Element x y z (fractional)
I (0.0000, 0.5000, 0.0000)  2 O 2.53
I (0.5000, 0.0000, 0.0000)  2 O 2.53
Hg (0.5000, 0.5000, 0.5000)  8 I 3.25, 4 O 3.57
O (0.0000, 0.0000, 0.0000)  2 O 2.04
O (0.0000, 0.0000, 0.5000)  2 O 2.04


Entry 5:
DFT (PBE-GGA) results for a relaxed structure of Ho6ScTl4.

For the energy of formation, the calculation gives -0.142 eV per atom.

a = 9.3714 Å, b = 9.3714 Å, c = 9.3714 Å
α = 56.87°, β = 140.65°, γ = 140.65°
Closest atoms and distances in Å follow each position.
Element x y z (fractional)
Ho (0.0000, 0.9141, 0.4440)  5 Tl 3.09-3.27
Ho (0.0000, 0.4440, 0.9141)  5 Tl 3.09-3.27
Ho (0.5299, 0.0859, 0.0859)  5 Tl 3.09-3.27
Ho (0.5000, 0.0000, 0.5000)  4 Tl 3.13, 2 Sc 3.16
Ho (0.4701, 0.5560, 0.5560)  5 Tl 3.09-3.27
Ho (0.5000, 0.5000, 0.0000)  4 Tl 3.13, 2 Sc 3.16
Sc (0.0000, 0.0000, 0.0000)  4 Tl 3.05, 4 Ho 3.16
Tl (0.0000, 0.1047, 0.6289)  1 Sc 3.05, 7 Ho 3.09-3.27
Tl (0.4758, 0.3711, 0.3711)  1 Sc 3.05, 7 Ho 3.09-3.27
Tl (0.0000, 0.6289, 0.1047)  1 Sc 3.05, 7 Ho 3.09-3.27
Tl (0.5242, 0.8953, 0.8953)  1 Sc 3.05, 7 Ho 3.09-3.27


Entry 6:
DFT (PBE-GGA) results for a relaxed structure of Ba3Ca4In4.

For the energy of formation, the calculation gives -0.324 eV per atom.

a = 5.4123 Å, b = 8.7065 Å, c = 10.4075 Å
α = 114.73°, β = 105.07°, γ = 90.00°
Closest atoms and distances in Å follow each position.
Element x y z (fractional)
Ba (0.1204, 0.1204, 0.2409)  6 In 3.77-4.09, 6 Ca 3.85-4.12
Ba (0.8796, 0.8796, 0.7591)  6 In 3.77-4.09, 6 Ca 3.85-4.12
Ba (0.0000, 0.5000, 0.0000)  6 In 3.81-3.96
Ca (0.3253, 0.1188, 0.6505)  4 In 3.30-3.35, 1 Ca 3.59
Ca (0.6747, 0.4683, 0.3495)  4 In 3.30-3.35, 1 Ca 3.59
Ca (0.6747, 0.8812, 0.3495)  4 In 3.30-3.35, 1 Ca 3.59
Ca (0.3253, 0.5317, 0.6505)  4 In 3.30-3.35, 1 Ca 3.59
In (0.2104, 0.7104, 0.4207)  6 Ca 3.30-3.31
In (0.7896, 0.2896, 0.5793)  6 Ca 3.30-3.31
In (0.5000, 0.8313, 0.0000)  1 In 2.94
In (0.5000, 0.1687, 0.0000)  1 In 2.94


Entry 7:
DFT (PBE-GGA) results for a relaxed structure of TeAsPN2.

The value obtained for the offset from the most stable computed form is 0.200 eV/atom. The formation energy from raw total energies comes out at 1.3939 eV/atom.

a = 3.7147 Å, b = 3.7147 Å, c = 7.8187 Å
α = 90.00°, β = 90.00°, γ = 90.00°
Closest atoms and distances in Å follow each position.
Element x y z (fractional)
P (0.5000, 0.5000, 0.5000)  4 Te 2.63
As (0.0000, 0.0000, 0.0000)  4 N 1.86
Te (0.0000, 0.0000, 0.5000)  4 P 2.63
N (0.0000, 0.5000, 0.0000)  2 As 1.86
N (0.5000, 0.0000, 0.0000)  2 As 1.86


Entry 8:
DFT (PBE-GGA) results for a relaxed structure of Rb2LiReBr6.

The formation energy from raw total energies comes out at -0.9867 eV/atom.

a = 7.5424 Å, b = 7.5424 Å, c = 7.5439 Å
α = 60.01°, β = 60.01°, γ = 90.00°
Closest atoms and distances in Å follow each position.
Element x y z (fractional)
Re (0.0000, 0.0000, 0.0000)  6 Br 2.56-2.57
Br (0.2404, 0.2404, 0.5192)  1 Re 2.57, 1 Li 2.77
Br (0.7596, 0.7596, 0.4808)  1 Re 2.57, 1 Li 2.77
Br (0.2405, 0.2405, 0.0000)  1 Re 2.56, 1 Li 2.77
Br (0.7595, 0.7595, 0.0000)  1 Re 2.56, 1 Li 2.77
Br (0.7595, 0.2405, 0.0000)  1 Re 2.56, 1 Li 2.77
Br (0.2405, 0.7595, 0.0000)  1 Re 2.56, 1 Li 2.77
Rb (0.7500, 0.2500, 0.5000)  12 Br 3.77
Rb (0.2500, 0.7500, 0.5000)  12 Br 3.77
Li (0.5000, 0.5000, 0.0000)  6 Br 2.77


Entry 9:
DFT (PBE-GGA) results for a relaxed structure of Pm2Sn3Pd5.

The value obtained for the offset from the most stable computed form is 0.030 eV/atom. For the energy of formation, the calculation gives -0.712 eV per atom.

a = 6.1759 Å, b = 8.9243 Å, c = 8.9243 Å
α = 82.32°, β = 69.76°, γ = 69.76°
Closest atoms and distances in Å follow each position.
Element x y z (fractional)
Pm (0.1272, 0.5995, 0.1460)  6 Pd 3.09-3.43, 4 Sn 3.33-3.41
Pm (0.6272, 0.1460, 0.5995)  6 Pd 3.09-3.43, 4 Sn 3.33-3.41
Pm (0.8728, 0.4005, 0.8540)  6 Pd 3.09-3.43, 4 Sn 3.33-3.41
Pm (0.3728, 0.8540, 0.4005)  6 Pd 3.09-3.43, 4 Sn 3.33-3.41
Sn (0.3618, 0.5182, 0.7582)  5 Pd 2.60-2.66
Sn (0.8618, 0.7582, 0.5182)  5 Pd 2.60-2.66
Sn (0.6382, 0.4818, 0.2418)  5 Pd 2.60-2.66
Sn (0.1382, 0.2418, 0.4818)  5 Pd 2.60-2.66
Sn (0.2500, 0.0000, 0.0000)  6 Pd 2.72-2.76
Sn (0.7500, 0.0000, 0.0000)  6 Pd 2.72-2.76
Pd (0.3931, 0.2681, 0.9457)  3 Sn 2.60-2.76, 2 Pd 2.84
Pd (0.8931, 0.9457, 0.2681)  3 Sn 2.60-2.76, 2 Pd 2.84
Pd (0.6069, 0.7319, 0.0543)  3 Sn 2.60-2.76, 2 Pd 2.84
Pd (0.1069, 0.0543, 0.7319)  3 Sn 2.60-2.76, 2 Pd 2.84
Pd (0.4780, 0.7720, 0.7720)  3 Sn 2.63-2.72, 2 Pd 2.84
Pd (0.5220, 0.2280, 0.2280)  3 Sn 2.63-2.72, 2 Pd 2.84
Pd (0.7500, 0.5000, 0.5000)  4 Sn 2.66
Pd (0.2500, 0.5000, 0.5000)  4 Sn 2.66
Pd (0.0220, 0.2280, 0.2280)  3 Sn 2.63-2.72, 2 Pd 2.84
Pd (0.9780, 0.7720, 0.7720)  3 Sn 2.63-2.72, 2 Pd 2.84


Entry 10:
DFT (PBE-GGA) results for a relaxed structure of Li5As2Pd.

For the energy of formation, the calculation gives -0.589 eV per atom.

a = 4.4018 Å, b = 4.4018 Å, c = 16.7016 Å
α = 90.00°, β = 90.00°, γ = 120.00°
Closest atoms and distances in Å follow each position.
Element x y z (fractional)
Li (0.0000, 0.0000, 0.3510)  3 As 2.64
Li (0.0000, 0.0000, 0.1490)  3 As 2.64
Li (0.6667, 0.3333, 0.2500)  3 Pd 2.54
Li (0.0000, 0.0000, 0.8510)  3 As 2.64
Li (0.6667, 0.3333, 0.0492)  4 As 2.60-2.72
Li (0.3333, 0.6667, 0.7500)  3 Pd 2.54
Li (0.3333, 0.6667, 0.9508)  4 As 2.60-2.72
Li (0.3333, 0.6667, 0.5492)  4 As 2.60-2.72
Li (0.6667, 0.3333, 0.4508)  4 As 2.60-2.72
Li (0.0000, 0.0000, 0.6490)  3 As 2.64
As (0.6667, 0.3333, 0.6066)  1 Pd 2.40, 4 Li 2.60-2.64
As (0.3333, 0.6667, 0.1066)  1 Pd 2.40, 4 Li 2.60-2.64
As (0.3333, 0.6667, 0.3934)  1 Pd 2.40, 4 Li 2.60-2.64
As (0.6667, 0.3333, 0.8934)  1 Pd 2.40, 4 Li 2.60-2.64
Pd (0.3333, 0.6667, 0.2500)  2 As 2.40, 3 Li 2.54
Pd (0.6667, 0.3333, 0.7500)  2 As 2.40, 3 Li 2.54


Entry 11:
DFT (PBE-GGA) results for a relaxed structure of KNbFe2Tc.

For the energy of formation, the calculation gives 2.166 eV per atom.

a = 4.5310 Å, b = 5.2667 Å, c = 4.5310 Å
α = 90.00°, β = 90.00°, γ = 90.00°
Closest atoms and distances in Å follow each position.
Element x y z (fractional)
K (0.0000, 0.5000, 0.0000)  2 Nb 2.63
Nb (0.0000, 0.0000, 0.0000)  4 Fe 2.27
Tc (0.5000, 0.5000, 0.5000)  4 K 3.20, 8 Fe 3.47
Fe (0.0000, 0.0000, 0.5000)  2 Nb 2.27
Fe (0.5000, 0.0000, 0.0000)  2 Nb 2.27


Entry 12:
DFT (PBE-GGA) results for a relaxed structure of NaSrGa2Au5.

For the energy of formation, the calculation gives -0.381 eV per atom.

a = 4.7187 Å, b = 4.7187 Å, c = 8.8791 Å
α = 90.00°, β = 90.00°, γ = 90.00°
Closest atoms and distances in Å follow each position.
Element x y z (fractional)
Na (0.0000, 0.0000, 0.0000)  8 Au 3.32, 8 Ga 3.58
Sr (0.0000, 0.0000, 0.5000)  12 Au 3.16-3.34
Ga (0.5000, 0.5000, 0.1450)  1 Ga 2.58, 4 Au 2.58
Ga (0.5000, 0.5000, 0.8550)  1 Ga 2.58, 4 Au 2.58
Au (0.0000, 0.5000, 0.2634)  2 Ga 2.58
Au (0.5000, 0.0000, 0.2634)  2 Ga 2.58
Au (0.0000, 0.5000, 0.7366)  2 Ga 2.58
Au (0.5000, 0.0000, 0.7366)  2 Ga 2.58
Au (0.5000, 0.5000, 0.5000)  2 Ga 3.15, 8 Au 3.16, 4 Sr 3.34


Calculated values (eV/atom) of final energy for the records, taken in order: -6.687; -3.587; -3.932; -1.944; -4.075; -2.572; -4.576; -3.620; -5.459; -3.596; -5.526; -3.208.